Compound: MgZr2FeO
Source: Alexandria
Functional: PBE+U
Structure: relaxed

Structure (POSCAR):
```
MgZr2FeO
1.0
4.640 0.000 0.000
0.000 4.640 0.000
0.000 0.000 4.727
Mg Zr Fe O
1 2 1 1
direct
0.000 0.000 0.000
0.000 0.500 0.500
0.500 0.000 0.500
0.000 0.000 0.500
0.500 0.500 0.000
```

Calculated values
Its density of states at the Fermi level is 4.95 states/eV per cell. Its density is 4.55 g/cm³. Its crystal system is tetragonal. The calculation puts the electronic total energy at -4.890 eV/atom. As for the symmetry: P4/mmm (123). For the total magnetization, the calculation gives 0.00 μB/atom.